Entry 1:
## Tb2Ga2Ni (PBE-GGA)

Data for Tb2Ga2Ni after structural relaxation.

Properties
- Final energy: -48.28 eV/cell
- Formation energy from the elements: -0.609 eV/atom
- Volume: 208.2 Å³/cell

extended XYZ file:
```
10
Lattice="4.239 0.000 0.000 2.120 5.256 -0.361 2.120 0.177 9.333" Properties=species:S:1:pos:R:3 pbc="T T T"
Tb 4.239 1.720 2.999
Tb 6.359 1.542 8.135
Tb 4.239 3.713 5.973
Tb 2.120 3.891 0.837
Ga 2.120 1.398 5.125
Ga 6.359 4.606 7.930
Ga 6.359 4.035 3.848
Ga 2.120 0.827 1.043
Ni 4.239 0.661 6.088
Ni 4.239 4.772 2.885
```

=====

Entry 2:
## TbGa7Ni2 (PBE-GGA)

Data for TbGa7Ni2 after structural relaxation.

Properties
- Final energy: -38.54 eV/cell
- Formation energy from the elements: -0.116 eV/atom
- Volume: 203.3 Å³/cell

extended XYZ file:
```
10
Lattice="4.045 0.000 0.000 0.000 7.572 -0.130 0.000 -3.533 6.699" Properties=species:S:1:pos:R:3 pbc="T T T"
Tb 0.000 0.000 0.000
Ga 0.000 4.982 1.462
Ga 0.000 -0.943 5.106
Ga 2.023 -0.828 2.273
Ga 2.023 4.867 4.295
Ga 2.023 2.402 0.287
Ga 2.023 1.637 6.281
Ga 2.023 2.020 3.284
Ni 2.023 3.992 2.071
Ni 2.023 0.047 4.497
```

=====

> Among the records above, which one has the highest volume?

Tb2Ga2Ni